# 1
NiOs3I | PBEsol | relaxed

Results
Its total DFT energy (no corrections) is -33.4 eV per cell. The spin magnetization is 0.00 μB per cell.

Cell lengths 4.4542, 4.4542, 4.4542 Å; angles 90.00, 90.00, 90.00 degrees
Closest atoms and distances in Å follow each position.
Space group Pm-3m (No. 221)
Unique sites:
Ni 0.0000 0.0000 0.0000 x1  6 Os 2.23
Os 0.0000 0.0000 0.5000 x3  2 Ni 2.23
I 0.5000 0.5000 0.5000 x1  12 Os 3.15



# 2
NiPOsI2 | PBEsol | relaxed

Results
Its total DFT energy (no corrections) is -19.9 eV per cell. The spin magnetization is 2.18 μB per cell.

Cell lengths 5.4300, 5.4300, 4.3634 Å; angles 90.00, 90.00, 90.00 degrees
Closest atoms and distances in Å follow each position.
Space group P4/mmm (No. 123)
Unique sites:
Ni 0.0000 0.0000 0.0000 x1  8 I 3.48, 4 Os 3.84
P 0.5000 0.5000 0.5000 x1  2 Os 2.18
Os 0.5000 0.5000 0.0000 x1  2 P 2.18
I 0.0000 0.5000 0.5000 x2  2 P 2.71



# 3
NiTePI2 | PBEsol | relaxed

Results
Its total DFT energy (no corrections) is -15.9 eV per cell. The spin magnetization is 0.00 μB per cell.

Cell lengths 4.9756, 4.9756, 5.0704 Å; angles 90.00, 90.00, 90.00 degrees
Closest atoms and distances in Å follow each position.
Space group P4/mmm (No. 123)
Unique sites:
Ni 0.0000 0.0000 0.0000 x1  4 I 2.49, 2 Te 2.54
Te 0.0000 0.0000 0.5000 x1  2 Ni 2.54
P 0.5000 0.5000 0.5000 x1  4 Te 3.52, 8 I 3.55
I 0.0000 0.5000 0.0000 x2  2 Ni 2.49